No. 1
This record from the Alexandria database describes an optimized crystal structure of CrCdRe2. The functional is PBE.

extended XYZ file:
```
4
Lattice="2.995 0.000 0.000 0.000 2.995 0.000 0.000 0.000 7.248" Properties=species:S:1:pos:R:3 pbc="T T T"
Cr 0.000 0.000 0.000
Cd 1.498 1.498 5.269
Re 0.000 0.000 3.168
Re 1.498 1.498 1.638
```

Energy of formation from the pure elements = 0.37 eV per atom
Total DFT energy (no corrections) = -33.95 eV per cell

***

No. 2
This record from the Alexandria database describes an optimized crystal structure of HfCuSiAu2. The functional is PBE.

extended XYZ file:
```
5
Lattice="4.737 0.000 0.000 0.000 4.737 0.000 0.000 0.000 4.298" Properties=species:S:1:pos:R:3 pbc="T T T"
Hf 0.000 0.000 0.000
Cu 2.368 2.368 0.000
Si 2.368 2.368 2.149
Au 0.000 2.368 2.149
Au 2.368 0.000 2.149
```

E_form (uncorrected) = 0.3030 eV/atom
Total DFT energy (no corrections) = -24.51 eV per cell

***

No. 3
This record from the Alexandria database describes an optimized crystal structure of ReNi2Os. The functional is PBE.

extended XYZ file:
```
4
Lattice="4.398 0.000 0.000 0.000 4.398 0.000 0.000 0.000 2.646" Properties=species:S:1:pos:R:3 pbc="T T T"
Re 0.000 0.000 0.000
Ni 0.000 2.199 1.323
Ni 2.199 0.000 1.323
Os 2.199 2.199 0.000
```

Energy of formation from the pure elements = 0.29 eV per atom
Distance to the lowest polymorph of the same formula = 1.120 eV per formula unit
Total DFT energy (no corrections) = -34.09 eV per cell